The following is a GGA-PBE calculation of CsNa4Ag after structural relaxation, from Alexandria.

Geometry as extended XYZ:
```
6
Lattice="0.000 4.891 4.891 4.891 0.000 4.891 4.891 4.891 0.000" Properties=species:S:1:pos:R:3 pbc="T T T"
Cs 0.000 0.000 0.000
Na 3.688 3.688 3.688
Na 6.094 6.094 3.688
Na 6.094 3.688 6.094
Na 3.688 6.094 6.094
Ag 7.337 7.337 7.337
```

Properties
spin magnetization	0.0	μB per formula unit
Fermi-level density of states	1.455	states/eV/f.u.
volume	234	Å³ per cell
E_tot	-1.38	eV/atom
E above lowest polymorph	0.1028	eV/atom
ΔE_f	11.2	kJ per mole of atoms



The following is a GGA-PBE calculation of YF4 after structural relaxation, from Alexandria.

Geometry as extended XYZ:
```
5
Lattice="4.393 0.000 0.000 0.000 4.393 0.000 0.000 0.000 4.393" Properties=species:S:1:pos:R:3 pbc="T T T"
Y 0.000 0.000 0.000
F 0.000 0.000 2.197
F 0.000 2.197 0.000
F 2.197 0.000 0.000
F 2.197 2.197 2.197
```

Properties
spin magnetization	1.0	μB per formula unit
Fermi-level density of states	9.300	states/eV/f.u.
E_form (uncorrected)	-3.07	eV per atom
volume	85	Å³ per cell
E_tot	-5.86	eV/atom
E above lowest polymorph	0.0000	eV/atom



The following is a GGA-PBE calculation of NbSiP2S after structural relaxation, from Alexandria.

Geometry as extended XYZ:
```
5
Lattice="4.444 0.000 0.000 0.000 4.444 0.000 0.000 0.000 4.422" Properties=species:S:1:pos:R:3 pbc="T T T"
Nb 0.000 0.000 0.000
Si 2.222 2.222 2.211
P 0.000 2.222 2.211
P 2.222 0.000 2.211
S 2.222 2.222 0.000
```

Properties
spin magnetization	0.0	μB per formula unit
Fermi-level density of states	4.468	states/eV/f.u.
E_form (uncorrected)	0.63	eV per atom
volume	87	Å³ per cell
E_tot	-5.45	eV/atom
E above lowest polymorph	0.0941	eV/atom



Please write out number 2 again, unchanged.
The following is a GGA-PBE calculation of YF4 after structural relaxation, from Alexandria.

Geometry as extended XYZ:
```
5
Lattice="4.393 0.000 0.000 0.000 4.393 0.000 0.000 0.000 4.393" Properties=species:S:1:pos:R:3 pbc="T T T"
Y 0.000 0.000 0.000
F 0.000 0.000 2.197
F 0.000 2.197 0.000
F 2.197 0.000 0.000
F 2.197 2.197 2.197
```

Properties
spin magnetization	1.0	μB per formula unit
Fermi-level density of states	9.300	states/eV/f.u.
E_form (uncorrected)	-3.07	eV per atom
volume	85	Å³ per cell
E_tot	-5.86	eV/atom
E above lowest polymorph	0.0000	eV/atom



Question: Fermi-level density of states of number 3 (NbSiP2S)?
Answer: 4.468 states/eV/f.u.